No. 1
First-principles (PBE) data for a relaxed structure of BeAs2Pt, as listed in the Alexandria database.

abc: 4.8013 4.8013 4.8013
angles: 130.45 130.45 72.69
Fractional coordinates of all 4 atoms:
Pt: 0.7500 0.2500 0.5000
As: 0.0000 0.0000 0.0000
As: 0.2500 0.7500 0.5000
Be: 0.5000 0.5000 0.0000

E_form: 238 meV per atom
SG: I-4m2 (119)
total moment: 0.00 μB/cell
mass density: 9.4 Mg/m³

---

No. 2
First-principles (PBE) data for a relaxed structure of Fe2AgPb, as listed in the Alexandria database.

abc: 6.4790 4.8279 3.0670
angles: 89.77 62.13 121.50
Fractional coordinates of all 4 atoms:
Pb: 0.0000 0.5000 0.5000
Ag: 0.5000 0.5000 0.0000
Fe: 0.5000 0.0000 0.5000
Fe: 0.0000 0.0000 0.0000

E_form: 572 meV per atom
SG: C2/m (12)
total moment: 5.46 μB/cell
mass density: 10.4 Mg/m³

---

No. 3
First-principles (PBE) data for a relaxed structure of Nd2SiOs2, as listed in the Alexandria database.

abc: 5.6674 5.6674 7.7649
angles: 79.29 79.29 62.03
Fractional coordinates of all 10 atoms:
Os: 0.7155 0.0090 0.5106
Os: 0.0090 0.7155 0.0106
Os: 0.2845 0.9910 0.4894
Os: 0.9910 0.2845 0.9894
Si: 0.9169 0.0831 0.7500
Si: 0.0831 0.9169 0.2500
Nd: 0.4947 0.2123 0.1441
Nd: 0.2123 0.4947 0.6441
Nd: 0.7877 0.5053 0.3559
Nd: 0.5053 0.7877 0.8559

raw total energy: -39.2 eV/f.u.
SG: C2/c (15)
total moment: 0.00 μB/cell
mass density: 10.8 Mg/m³

---

No. 4
First-principles (PBE) data for a relaxed structure of NbCu4Ag, as listed in the Alexandria database.

abc: 4.8902 4.8902 4.8902
angles: 60.00 60.00 60.00
Fractional coordinates of all 6 atoms:
Nb: 0.2500 0.2500 0.2500
Cu: 0.6250 0.1250 0.6250
Cu: 0.1250 0.6250 0.6250
Cu: 0.6250 0.6250 0.6250
Cu: 0.6250 0.6250 0.1250
Ag: 0.0000 0.0000 0.0000

E_form: 109 meV per atom
SG: F-43m (216)
total moment: 0.00 μB/cell
mass density: 9.1 Mg/m³